[1]
NaSr2Ta | GGA-PBE | optimized geometry

## Properties
SG: I-42d
Energy relative to the elements (meV per atom): 1329
E above lowest polymorph (eV per atom): 0.4205

Cell lengths 12.335, 12.335, 12.335 Å; angles 156.20, 156.20, 33.91 degrees
Positions (direct):
Na (0.000, 0.000, 0.000)
Na (0.750, 0.250, 0.500)
Sr (0.134, 0.625, 0.009)
Sr (0.375, 0.384, 0.509)
Sr (0.616, 0.125, 0.991)
Sr (0.875, 0.866, 0.491)
Ta (0.250, 0.750, 0.500)
Ta (0.500, 0.500, 0.000)

[2]
Pr2Cu2Ir | GGA-PBE | optimized geometry

## Properties
SG: C2/m
Energy relative to the elements (meV per atom): -336

Cell lengths 5.757, 5.757, 11.383 Å; angles 115.45, 115.45, 42.35 degrees
Positions (direct):
Pr (0.059, 0.059, 0.360)
Pr (0.205, 0.205, 0.117)
Pr (0.795, 0.795, 0.883)
Pr (0.941, 0.941, 0.640)
Cu (0.377, 0.377, 0.420)
Cu (0.490, 0.490, 0.110)
Cu (0.510, 0.510, 0.890)
Cu (0.623, 0.623, 0.580)
Ir (0.266, 0.266, 0.688)
Ir (0.734, 0.734, 0.312)

[3]
MoPbI3 | GGA-PBE | optimized geometry

## Properties
SG: Pm-3m
ΔE_f (raw) (meV per atom): 328
E above lowest polymorph (eV per atom): 0.0000

Cell lengths 5.712, 5.712, 5.712 Å; angles 90.00, 90.00, 90.00 degrees
Positions (direct):
Mo (0.000, 0.000, 0.000)
Pb (0.500, 0.500, 0.500)
I (0.000, 0.000, 0.500)
I (0.000, 0.500, 0.000)
I (0.500, 0.000, 0.000)

| no. | uncorrected energy (eV for the cell shown) |
| --- | --- |
| 1 | -22.44 |
| 2 | -56.58 |
| 3 | -17.55 |